{
  "formula": "Na3AgSb3",
  "functional": "PBE",
  "state": "relaxed",
  "lattice": [[-2.276, -3.746, -2.098], [3.912, -3.898, -2.913], [0.892, -9.700, 10.726]],
  "species": ["Na", "Na", "Na", "Na", "Na", "Na", "Ag", "Ag", "Sb", "Sb", "Sb", "Sb", "Sb", "Sb"],
  "fractional_positions": [[0.529, 0.321, 0.621], [0.471, 0.679, 0.379], [0.261, 0.249, 0.230], [0.739, 0.751, 0.770], [0.406, 0.271, 0.916], [0.594, 0.729, 0.084], [0.756, 0.095, 0.392], [0.244, 0.905, 0.608], [0.869, 0.720, 0.542], [0.131, 0.280, 0.458], [0.115, 0.845, 0.924], [0.885, 0.155, 0.076], [0.969, 0.828, 0.234], [0.031, 0.172, 0.766]],
  "e_tot_ev_per_cell": -42.39,
  "e_form_raw_ev_per_atom": -0.2888
}

=====

{
  "formula": "MnOs2Au",
  "functional": "PBE",
  "state": "relaxed",
  "lattice": [[7.027, 0.000, 0.000], [0.000, 7.027, 0.000], [3.514, 3.514, 2.562]],
  "species": ["Os", "Os", "Os", "Os", "Mn", "Mn", "Au", "Au"],
  "fractional_positions": [[0.566, 0.125, 0.250], [0.184, 0.625, 0.250], [0.375, 0.434, 0.750], [0.875, 0.816, 0.750], [0.500, 0.500, 0.000], [0.250, 0.750, 0.500], [0.000, 0.000, 0.000], [0.750, 0.250, 0.500]],
  "formation_enthalpy_0k_ev_per_atom": 0.807,
  "relative_energy_ev_per_atom": 0.581,
  "e_tot_ev_per_cell": -63.35
}

=====

{
  "formula": "TiBe2Au",
  "functional": "PBE",
  "state": "relaxed",
  "lattice": [[-2.532, 0.690, 2.958], [-1.556, -3.602, -0.491], [3.240, -4.450, 6.453]],
  "species": ["Be", "Be", "Be", "Be", "Au", "Au", "Ti", "Ti"],
  "fractional_positions": [[0.794, 0.125, 0.250], [0.956, 0.625, 0.250], [0.375, 0.206, 0.750], [0.875, 0.044, 0.750], [0.000, 0.000, 0.000], [0.750, 0.250, 0.500], [0.500, 0.500, 0.000], [0.250, 0.750, 0.500]],
  "formation_enthalpy_0k_ev_per_atom": 0.355,
  "relative_energy_ev_per_atom": 0.522,
  "e_tot_ev_per_cell": -34.41
}

=====

{
  "formula": "NaHo2TcO6",
  "functional": "PBE",
  "state": "relaxed",
  "lattice": [[5.610, 0.000, 0.000], [2.805, 4.858, 0.000], [2.805, 1.619, 4.996]],
  "species": ["Na", "Ho", "Ho", "Tc", "O", "O", "O", "O", "O", "O"],
  "fractional_positions": [[0.799, 0.799, 0.602], [0.525, 0.525, 0.424], [0.017, 0.017, 0.948], [0.323, 0.323, 0.032], [0.573, 0.233, 0.233], [0.233, 0.962, 0.233], [0.962, 0.573, 0.232], [0.396, 0.690, 0.771], [0.690, 0.144, 0.771], [0.144, 0.396, 0.771]],
  "e_tot_ev_per_cell": -75.61,
  "e_form_raw_ev_per_atom": -2.5016
}

=====

{
  "formula": "NdSmGaPb",
  "functional": "PBE",
  "state": "relaxed",
  "lattice": [[5.394, 0.000, 0.000], [2.697, 4.671, 0.000], [2.697, 1.557, 4.404]],
  "species": ["Pb", "Nd", "Ga", "Sm"],
  "fractional_positions": [[0.500, 0.500, 0.500], [0.250, 0.250, 0.250], [0.000, 0.000, 0.000], [0.750, 0.750, 0.750]],
  "formation_enthalpy_0k_ev_per_atom": -0.464,
  "e_tot_ev_per_cell": -18.08
}

=====

{
  "formula": "Th3Pa",
  "functional": "PBE",
  "state": "relaxed",
  "lattice": [[4.932, 0.000, 0.000], [0.000, 4.932, 0.000], [0.000, 0.000, 4.932]],
  "species": ["Pa", "Th", "Th", "Th"],
  "fractional_positions": [[0.000, 0.000, 0.000], [0.000, 0.500, 0.500], [0.500, 0.000, 0.500], [0.500, 0.500, 0.000]],
  "formation_enthalpy_0k_ev_per_atom": 0.088,
  "relative_energy_ev_per_atom": 0.011,
  "e_tot_ev_per_cell": -31.40
}